Below is crystalline Zr6Hg5Au at its relaxed geometry, with properties calculated at the PBE level. Values from VASP.

Values from the calculation:
The total energy is -58.25 eV/cell. As for the energy of formation: -182 meV per atom. The crystal system is orthorhombic. Its density of states at the Fermi level is 14.5 states/eV per cell.

Geometry as Quantum ESPRESSO input:
```
&SYSTEM
  ibrav = 0, nat = 12, ntyp = 3
/
ATOMIC_SPECIES
Zr 91.22 Zr.upf
Au 196.97 Au.upf
Hg 200.59 Hg.upf
ATOMIC_POSITIONS crystal
Zr 0.836 0.752 0.327
Zr 0.500 0.754 0.000
Au 0.000 0.000 0.000
Hg 0.669 0.500 0.662
Hg 0.331 0.000 0.337
Zr 0.836 0.248 0.327
Zr 0.500 0.246 0.000
Zr 0.164 0.752 0.673
Zr 0.164 0.248 0.673
Hg 0.669 0.000 0.663
Hg 0.000 0.500 0.000
Hg 0.331 0.500 0.338
CELL_PARAMETERS angstrom
4.713 -0.028 1.571
0.037 6.988 0.012
-0.006 -0.014 7.876
```


Below is crystalline Zr5HgAu3 at its relaxed geometry, with properties calculated at the PBE level. Values from VASP.

Values from the calculation:
The total energy is -111.90 eV/cell. As for the energy of formation: -342 meV per atom. The crystal system is hexagonal. Its density of states at the Fermi level is 24.2 states/eV per cell.

Geometry as Quantum ESPRESSO input:
```
&SYSTEM
  ibrav = 0, nat = 18, ntyp = 3
/
ATOMIC_SPECIES
Zr 91.22 Zr.upf
Au 196.97 Au.upf
Hg 200.59 Hg.upf
ATOMIC_POSITIONS crystal
Zr 0.250 0.000 0.686
Zr 0.250 0.686 0.000
Zr 0.250 0.314 0.314
Zr 0.750 0.314 0.000
Zr 0.750 0.000 0.314
Zr 0.750 0.686 0.686
Zr 0.500 0.333 0.667
Zr 0.000 0.333 0.667
Au 0.750 0.000 0.641
Au 0.250 0.000 0.359
Au 0.250 0.641 0.641
Hg 0.000 0.000 0.000
Zr 0.000 0.667 0.333
Au 0.250 0.359 0.000
Au 0.750 0.359 0.359
Hg 0.500 0.000 0.000
Zr 0.500 0.667 0.333
Au 0.750 0.641 0.000
CELL_PARAMETERS angstrom
5.840 0.000 0.000
0.000 7.482 -4.320
0.000 0.000 8.640
```


Below is crystalline Zr2Hg2Au at its relaxed geometry, with properties calculated at the PBE level. Values from VASP.

Values from the calculation:
For the offset from the most stable computed form, the calculation gives 1.054 eV/f.u. The total energy is -41.51 eV/cell. As for the energy of formation: 45 meV per atom. The crystal system is tetragonal. Its density of states at the Fermi level is 8.2 states/eV per cell.

Geometry as Quantum ESPRESSO input:
```
&SYSTEM
  ibrav = 0, nat = 10, ntyp = 3
/
ATOMIC_SPECIES
Zr 91.22 Zr.upf
Hg 200.59 Hg.upf
Au 196.97 Au.upf
ATOMIC_POSITIONS crystal
Zr 0.645 0.145 0.000
Hg 0.156 0.656 0.500
Zr 0.355 0.855 0.000
Zr 0.145 0.355 0.000
Au 0.500 0.500 0.000
Au 0.000 0.000 0.000
Hg 0.656 0.844 0.500
Zr 0.855 0.645 0.000
Hg 0.344 0.156 0.500
Hg 0.844 0.344 0.500
CELL_PARAMETERS angstrom
-3.919 -1.954 5.865
-3.107 -5.381 -3.869
3.206 -2.736 1.231
```


Below is crystalline Zr2HgAu2 at its relaxed geometry, with properties calculated at the PBE level. Values from VASP.

Values from the calculation:
The total energy is -24.09 eV/cell. As for the energy of formation: -27 meV per atom. The crystal system is tetragonal. Its density of states at the Fermi level is 4.8 states/eV per cell.

Geometry as Quantum ESPRESSO input:
```
&SYSTEM
  ibrav = 0, nat = 5, ntyp = 3
/
ATOMIC_SPECIES
Zr 91.22 Zr.upf
Au 196.97 Au.upf
Hg 200.59 Hg.upf
ATOMIC_POSITIONS crystal
Zr 0.250 0.750 0.500
Au 0.608 0.608 0.784
Hg 0.000 0.000 0.000
Au 0.392 0.392 0.216
Zr 0.750 0.250 0.500
CELL_PARAMETERS angstrom
4.417 0.000 0.000
0.000 4.417 0.000
2.209 2.209 6.024
```


Below is crystalline Zr4HgAu at its relaxed geometry, with properties calculated at the PBE level. Values from VASP.

Values from the calculation:
For the offset from the most stable computed form, the calculation gives 0.000 eV/f.u. The total energy is -36.60 eV/cell. As for the energy of formation: 195 meV per atom. The crystal system is cubic. Its density of states at the Fermi level is 5.1 states/eV per cell.

Geometry as Quantum ESPRESSO input:
```
&SYSTEM
  ibrav = 0, nat = 6, ntyp = 3
/
ATOMIC_SPECIES
Zr 91.22 Zr.upf
Hg 200.59 Hg.upf
Au 196.97 Au.upf
ATOMIC_POSITIONS crystal
Zr 0.375 0.875 0.375
Zr 0.875 0.375 0.375
Hg 0.000 0.000 0.000
Zr 0.375 0.375 0.375
Zr 0.375 0.375 0.875
Au 0.750 0.750 0.750
CELL_PARAMETERS angstrom
0.000 4.036 4.036
4.036 0.000 4.036
4.036 4.036 0.000
```


Below is crystalline Zr12Hg3Au at its relaxed geometry, with properties calculated at the PBE level. Values from VASP.

Values from the calculation:
The total energy is -109.28 eV/cell. As for the energy of formation: -158 meV per atom. The crystal system is tetragonal. Its density of states at the Fermi level is 21.3 states/eV per cell.

Geometry as Quantum ESPRESSO input:
```
&SYSTEM
  ibrav = 0, nat = 16, ntyp = 3
/
ATOMIC_SPECIES
Zr 91.22 Zr.upf
Hg 200.59 Hg.upf
Au 196.97 Au.upf
ATOMIC_POSITIONS crystal
Zr 0.500 0.000 0.626
Hg 0.000 0.000 0.752
Zr 0.000 0.500 0.374
Hg 0.000 0.000 0.248
Hg 0.000 0.000 0.500
Zr 0.500 0.500 0.248
Zr 0.500 0.000 0.374
Zr 0.000 0.500 0.122
Zr 0.500 0.000 0.122
Zr 0.500 0.500 0.000
Zr 0.500 0.000 0.878
Zr 0.000 0.500 0.626
Au 0.000 0.000 0.000
Zr 0.500 0.500 0.500
Zr 0.500 0.500 0.752
Zr 0.000 0.500 0.878
CELL_PARAMETERS angstrom
-1.899 3.301 -2.259
-3.941 -1.973 0.430
-2.754 8.808 15.181
```


Below is crystalline Zr6Hg2Au at its relaxed geometry, with properties calculated at the PBE level. Values from VASP.

Values from the calculation:
The total energy is -53.28 eV/cell. As for the energy of formation: 210 meV per atom. The crystal system is monoclinic. Its density of states at the Fermi level is 12.4 states/eV per cell.

Geometry as Quantum ESPRESSO input:
```
&SYSTEM
  ibrav = 0, nat = 9, ntyp = 3
/
ATOMIC_SPECIES
Zr 91.22 Zr.upf
Hg 200.59 Hg.upf
Au 196.97 Au.upf
ATOMIC_POSITIONS crystal
Zr 0.500 0.243 0.000
Hg 0.335 0.334 0.668
Hg 0.665 0.666 0.332
Zr 0.163 0.410 0.328
Zr 0.837 0.082 0.672
Zr 0.163 0.918 0.328
Au 0.000 0.000 0.000
Zr 0.500 0.757 0.000
Zr 0.837 0.590 0.672
CELL_PARAMETERS angstrom
4.712 0.000 -0.181
0.000 6.770 0.000
-2.078 -3.385 7.153
```


Below is crystalline HoAu12 at its relaxed geometry, with properties calculated at the PBE level. Values from VASP.

Values from the calculation:
The total energy is -36.89 eV/cell. As for the energy of formation: 540 meV per atom. The crystal system is cubic. Its density of states at the Fermi level is 11.4 states/eV per cell.

Geometry as Quantum ESPRESSO input:
```
&SYSTEM
  ibrav = 0, nat = 13, ntyp = 2
/
ATOMIC_SPECIES
Au 196.97 Au.upf
Ho 164.93 Ho.upf
ATOMIC_POSITIONS crystal
Au 0.500 0.500 0.161
Au 0.500 0.839 0.500
Au 0.500 0.839 0.161
Au 0.161 0.500 0.839
Au 0.839 0.500 0.500
Ho 0.000 0.000 0.000
Au 0.839 0.500 0.161
Au 0.161 0.500 0.500
Au 0.500 0.161 0.839
Au 0.500 0.500 0.839
Au 0.161 0.839 0.500
Au 0.839 0.161 0.500
Au 0.500 0.161 0.500
CELL_PARAMETERS angstrom
-2.296 -5.160 -5.761
-2.736 -7.321 2.000
-7.812 -1.782 -0.939
```


Below is crystalline Ho5Au at its relaxed geometry, with properties calculated at the PBE level. Values from VASP.

Values from the calculation:
The total energy is -27.06 eV/cell. As for the energy of formation: -149 meV per atom. The crystal system is orthorhombic. Its density of states at the Fermi level is 7.6 states/eV per cell.

Geometry as Quantum ESPRESSO input:
```
&SYSTEM
  ibrav = 0, nat = 6, ntyp = 2
/
ATOMIC_SPECIES
Ho 164.93 Ho.upf
Au 196.97 Au.upf
ATOMIC_POSITIONS crystal
Ho 0.500 0.170 0.340
Ho 0.000 0.341 0.683
Au 0.000 0.000 0.000
Ho 0.000 0.659 0.317
Ho 0.500 0.830 0.660
Ho 0.500 0.500 0.000
CELL_PARAMETERS angstrom
-1.769 2.038 -4.001
-2.279 -3.839 -0.948
-4.754 4.455 4.371
```


Below is crystalline HoAu3 at its relaxed geometry, with properties calculated at the PBE level. Values from VASP.

Values from the calculation:
The total energy is -15.58 eV/cell. As for the energy of formation: -294 meV per atom. The crystal system is tetragonal. Its density of states at the Fermi level is 1.8 states/eV per cell.

Geometry as Quantum ESPRESSO input:
```
&SYSTEM
  ibrav = 0, nat = 4, ntyp = 2
/
ATOMIC_SPECIES
Ho 164.93 Ho.upf
Au 196.97 Au.upf
ATOMIC_POSITIONS crystal
Ho 0.000 0.000 0.000
Au 0.256 0.256 0.513
Au 0.500 0.500 0.000
Au 0.744 0.744 0.487
CELL_PARAMETERS angstrom
-2.145 -3.194 -1.216
-0.567 -1.083 3.846
-3.400 5.265 -1.136
```


Look up the energy of formation of the seventh one. 210 meV per atom